First-principles (GGA+U) data for an optimized crystal structure of Sr2TbFeO6, as listed in Alexandria.

abc: 8.1618 8.1618 8.1618
angles: 90.00 90.00 90.00
Closest atoms and distances in Å follow each position.
Space group Fm-3m (No. 225)
Symmetry-distinct sites (fractional):
1 Sr 0.2500 0.2500 0.2500 x8  12 O 2.89
2 Tb 0.0000 0.0000 0.0000 x4  6 O 2.20
3 Fe 0.0000 0.0000 0.5000 x4  6 O 1.88
4 O 0.0000 0.0000 0.2693 x24  1 Fe 1.88

E (eV per formula unit): -66.59
Crystal system: cubic